Entry 1:
The following is a PBE calculation of HgRuRhS after structural relaxation, from Alexandria.

```
HgRuRhS
1.0
-6.947 0.103 2.984
0.845 -2.311 2.048
2.854 3.715 3.015
Ru S Rh Hg
2 2 2 2
Direct
0.609 0.000 0.016
0.609 0.500 0.516
0.422 0.000 0.285
0.422 0.500 0.785
0.227 0.000 0.887
0.227 0.500 0.387
0.921 0.000 0.452
0.921 0.500 0.952
```

DOS at the Fermi energy = 9.41 states/eV per cell
Excess energy over the best structure of this formula in the dataset = 15.1 meV per atom

Entry 2:
The following is a PBE calculation of Hg2RuRhS after structural relaxation, from Alexandria.

```
Hg2RuRhS
1.0
5.272 0.000 0.000
0.000 4.286 0.000
0.000 0.000 5.272
Ru S Rh Hg
1 1 1 2
Direct
0.500 0.500 0.500
0.000 0.500 0.000
0.000 0.000 0.000
0.000 0.000 0.500
0.500 0.000 0.000
```

Uncorrected energy = -3.329 eV per atom
DOS at the Fermi energy = 7.23 states/eV per cell

Record order is preserved below.
Size of the total moment: 0.0, 2.2 μB/f.u.